A geometry-optimized SrAlZnCu structure, computed with PBE.

Summary:
The mass density comes out at 4.493 g cm⁻³. The value obtained for the density of states at the Fermi level is 0.434 states/eV/atom. For the formation energy from the elements, the calculation gives -0.242 eV/atom.

Lattice parameters (Å, degrees): 7.5180 4.3665 6.0333 90.00 114.64 90.00
Closest atoms and distances in Å follow each position.
Space group Cm (No. 8)
Inequivalent atoms, fractional coordinates:
Sr  0.0000  0.0000  0.0000  4 Cu 3.12-3.45, 4 Zn 3.19-3.40
Al  0.0107  0.5000  0.5333  3 Cu 2.52, 3 Zn 2.58-2.60
Zn  0.3052  0.5000  0.4174  3 Al 2.58-2.60, 3 Cu 2.64-2.65
Cu  0.1893  0.0000  0.5697  3 Al 2.52, 3 Zn 2.64-2.65